Entry from Alexandria: an optimized crystal structure of Zr2BeRu (GGA-PBE).

## Properties
The formation enthalpy at 0 K is -246 meV per atom.

Cell lengths 3.2039, 3.2039, 6.6303 Å; angles 90.00, 90.00, 90.00 degrees
Space group P4mm (No. 99)
One atom of each set of equivalent atoms:
Zr1 0.0000 0.0000 0.0000 [1 per cell]
Zr2 0.5000 0.5000 0.3273 [1 per cell]
Be1 0.0000 0.0000 0.5897 [1 per cell]
Ru1 0.5000 0.5000 0.7205 [1 per cell]